SrNiSn3, relaxed, DFT PBE-GGA; DFT formation energy = -435 meV/atom; M_tot = 0.00 μB/cell
1.0
-4.1862 -0.2338 2.3179
1.2533 -4.2434 1.8371
3.7247 4.7839 2.2453
Sr Sn Ni
1 3 1
Cartesian
0.7490 0.2581 6.3210
1.8975 2.1381 3.6362
-1.0059 1.1077 3.2370
1.7128 -0.8963 2.9967
-0.7927 -1.4789 3.3643



Sr3Ni2Sn4, relaxed, DFT PBE-GGA; DFT formation energy = -498 meV/atom; polymorph energy (0 for the lowest one) = 0.0 meV per atom; M_tot = 0.00 μB/cell
1.0
4.7278 0.0000 0.0000
-2.3639 5.8571 0.0361
0.0000 -2.3140 8.7350
Sr Ni Sn
3 2 4
Cartesian
2.3639 -0.3118 6.0414
0.0000 0.0000 0.0000
0.0000 3.8550 2.7297
2.3639 1.3474 3.1320
0.0000 2.1957 5.6392
2.3639 2.3292 0.7728
0.0000 1.2140 7.9984
2.3639 3.0893 5.1457
0.0000 0.4539 3.6255



Sr2NiSn6, relaxed, DFT PBE-GGA; DFT formation energy = -379 meV/atom; polymorph energy (0 for the lowest one) = 16.6 meV per atom; M_tot = 0.00 μB/cell
1.0
-3.9802 1.4850 1.5546
-1.9350 -3.9805 -1.1519
4.6800 -5.3039 10.4668
Sr Ni Sn
2 1 6
Cartesian
1.7733 -3.0071 7.4127
0.6702 -3.7689 11.8979
-1.4921 -3.7330 6.3275
-0.8000 -1.2757 5.7522
0.2213 -4.0062 4.3934
-0.4121 -2.9320 1.7455
-1.4296 -0.2080 3.1203
1.4408 -6.0742 9.4912
-0.9393 -4.6704 8.6382



Sr3Ni4Sn4, relaxed, DFT PBE-GGA; DFT formation energy = -398 meV/atom; M_tot = 0.00 μB/cell
1.0
-3.8782 0.7195 -1.7095
-2.1005 -1.6001 4.0868
-2.5075 11.6907 5.2131
Sr Ni Sn
3 4 4
Cartesian
-4.4869 8.4761 2.9443
-3.9991 2.3339 4.6462
-5.9785 -0.8805 2.3773
-3.5581 8.3460 6.1791
-2.5329 5.8713 2.8167
-5.9532 4.9387 4.7738
-4.9280 2.4640 1.4114
-5.5099 9.9070 5.8605
-2.9760 0.9031 1.7299
-4.9006 4.8702 2.3630
-3.5855 5.9398 5.2275



SrNi2Sn4, relaxed, DFT PBE-GGA; DFT formation energy = -325 meV/atom; M_tot = 0.00 μB/cell
1.0
4.4918 0.0000 0.0000
0.0000 7.2315 0.0000
0.0000 0.0000 18.8152
Sr Ni Sn
4 8 16
Cartesian
3.3689 7.2239 12.0666
1.1230 0.0076 6.7486
1.1230 3.6082 16.1562
3.3689 3.6233 2.6590
1.1230 5.4386 10.0698
3.3689 1.7928 8.7454
3.3689 1.8229 18.1530
1.1230 5.4086 0.6622
1.1230 7.1040 14.8322
3.3689 0.1274 3.9830
3.3689 3.4883 13.3906
1.1230 3.7432 5.4246
1.1230 2.0194 13.1516
3.3689 5.2120 5.6636
3.3689 5.6352 15.0712
1.1230 1.5963 3.7440
1.1230 5.0007 12.7928
3.3689 2.2308 6.0224
3.3689 1.3849 15.4300
1.1230 5.8465 3.3852
1.1230 1.0298 9.9433
3.3689 6.2017 8.8719
3.3689 4.6455 18.2795
1.1230 2.5860 0.5357
1.1230 3.5674 8.1146
3.3689 3.6641 10.7006
3.3689 7.1831 1.2930
1.1230 0.0484 17.5222



Sr2NiSn3, relaxed, DFT PBE-GGA; DFT formation energy = -481 meV/atom; M_tot = 0.00 μB/cell
1.0
0.4034 -5.5127 3.7313
6.3936 -0.9275 -1.6543
-1.1221 7.6576 5.2714
Sr Ni Sn
4 2 6
Cartesian
4.3350 1.7549 2.3278
5.1371 -4.8675 1.5698
1.3399 -0.5376 5.0206
1.6598 -1.5727 0.5072
1.5108 2.9450 4.1877
4.1641 -1.7277 3.1607
0.4905 2.5908 6.4282
2.4229 -3.4872 3.4029
5.1843 -1.3735 0.9202
3.2519 4.7045 3.9455
4.8674 -0.3568 5.1101
0.8075 1.5741 2.2384



Sr2NiSn2, relaxed, DFT PBE-GGA; DFT formation energy = -342 meV/atom; polymorph energy (0 for the lowest one) = 168.9 meV per atom; M_tot = 0.00 μB/cell
1.0
7.2954 0.0000 0.0000
0.0000 7.2954 0.0000
0.0000 0.0000 5.2664
Sr Sn Ni
4 4 2
Cartesian
1.2128 4.8605 2.6332
4.8605 6.0825 2.6332
6.0825 2.4349 2.6332
2.4349 1.2128 2.6332
2.5656 6.2133 0.0000
6.2133 4.7297 0.0000
4.7297 1.0821 0.0000
1.0821 2.5656 0.0000
0.0000 0.0000 0.0000
3.6477 3.6477 0.0000



SrNi2Sn8, relaxed, DFT PBE-GGA; DFT formation energy = -112 meV/atom; M_tot = 0.00 μB/cell
1.0
6.3246 0.0000 0.0000
0.0000 6.3246 0.0000
0.0000 0.0000 8.3732
Sr Ni Sn
1 2 8
Cartesian
3.1623 3.1623 4.1866
3.1623 0.0000 0.0000
0.0000 3.1623 0.0000
4.7656 4.7656 1.5421
4.7656 1.5590 6.8311
4.7656 4.7656 6.8311
4.7656 1.5590 1.5421
1.5590 4.7656 1.5421
1.5590 4.7656 6.8311
1.5590 1.5590 1.5421
1.5590 1.5590 6.8311